Material: CaBeF2
Method: DFT, SCAN
State: PBEsol geometry

The calculation puts the uncorrected energy at -7.065 eV/atom. Its density is 2.33 g/cm3. Its uncorrected formation energy is -1.7906 eV/atom. Its density of states at the Fermi level is 1.55 states/eV/f.u.

Cell lengths 5.810, 5.810, 5.810 Å; angles 126.02, 126.02, 79.86 degrees
Sites, in units of the cell vectors:
Ca1 0.375 0.625 0.750
Ca2 0.625 0.375 0.250
Be1 0.125 0.875 0.250
Be2 0.875 0.125 0.750
F1 0.000 0.000 0.000
F2 0.000 0.000 0.500
F3 0.000 0.500 0.000
F4 0.500 0.000 0.500